VASP calculation (GGA-PBE) on a geometry-optimized TeRu2Rh structure.

energy relative to the elements, uncorrected	0.53	eV per atom
size of the total moment	0.0	μB/f.u.
calculated density	11.034	g cm⁻³
DFT total energy	-6.730	eV/atom

Unit cell a=8.519 b=8.519 c=8.519 alpha=20.30 beta=20.30 gamma=20.30
Positions (direct):
Te1 0.750 0.750 0.750
Ru1 0.499 0.499 0.499
Ru2 0.001 0.001 0.001
Rh1 0.250 0.250 0.250

---

VASP calculation (GGA-PBE) on a geometry-optimized TeRuRh2 structure.

energy relative to the elements, uncorrected	0.20	eV per atom
size of the total moment	0.0	μB/f.u.
calculated density	11.273	g cm⁻³
DFT total energy	-6.584	eV/atom

Unit cell a=6.243 b=4.753 c=3.008 alpha=89.96 beta=61.27 gamma=120.30
Positions (direct):
Rh1 0.000 0.000 0.000
Rh2 0.500 0.000 0.500
Ru1 0.000 0.500 0.500
Te1 0.500 0.500 0.000

---

VASP calculation (GGA-PBE) on a geometry-optimized Te3RuRh structure.

energy relative to the elements, uncorrected	0.92	eV per atom
size of the total moment	0.3	μB/f.u.
calculated density	7.303	g cm⁻³
polymorph energy (0 for the lowest one)	0	meV/atom
DFT total energy	-4.292	eV/atom

Unit cell a=5.110 b=5.110 c=5.110 alpha=90.00 beta=90.00 gamma=90.00
Each line ends with the local moment (μB).
Positions (direct):
Te1 0.000 0.500 0.000  0.01
Te2 0.500 0.000 0.000  -0.01
Te3 0.000 0.000 0.500  0.01
Rh1 0.500 0.500 0.500  0.34
Ru1 0.000 0.000 0.000  -0.10

---

VASP calculation (GGA-PBE) on a geometry-optimized TeRu2Rh structure.

energy relative to the elements, uncorrected	0.45	eV per atom
size of the total moment	0.0	μB/f.u.
calculated density	11.201	g cm⁻³
DFT total energy	-6.808	eV/atom

Unit cell a=3.009 b=3.009 c=7.083 alpha=90.00 beta=90.00 gamma=90.00
Positions (direct):
Te1 0.500 0.500 0.250
Ru1 0.000 0.000 0.995
Ru2 0.000 0.000 0.505
Rh1 0.500 0.500 0.750

---

VASP calculation (GGA-PBE) on a geometry-optimized TeRuRh2 structure.

energy relative to the elements, uncorrected	0.19	eV per atom
size of the total moment	0.0	μB/f.u.
calculated density	11.200	g cm⁻³
DFT total energy	-6.594	eV/atom

Unit cell a=4.744 b=4.744 c=4.715 alpha=80.90 beta=80.90 gamma=38.00
Positions (direct):
Rh1 0.507 0.507 0.481
Rh2 0.993 0.993 0.019
Te1 0.750 0.750 0.750
Ru1 0.250 0.250 0.250

---

VASP calculation (GGA-PBE) on a geometry-optimized Te2RuRh structure.

energy relative to the elements, uncorrected	0.16	eV per atom
size of the total moment	0.2	μB/f.u.
calculated density	8.238	g cm⁻³
polymorph energy (0 for the lowest one)	245	meV/atom
DFT total energy	-5.564	eV/atom

Unit cell a=8.302 b=8.302 c=8.302 alpha=25.38 beta=25.38 gamma=25.38
Each line ends with the local moment (μB).
Positions (direct):
Ru1 0.748 0.748 0.748  0.15
Te1 0.227 0.227 0.227  0.00
Te2 0.022 0.022 0.022  0.00
Rh1 0.503 0.503 0.503  0.01